Compound: VBTe2O
Source: Alexandria via LeMat-Bulk
Functional: PBE+U
Structure: relaxed

Structure (POSCAR):
```
VBTe2O
1.0
-0.651 -3.792 -3.454
3.585 0.448 -1.167
1.573 -3.462 3.504
O V Te B
1 1 2 1
Direct
0.000 0.000 0.000
0.000 0.500 0.000
0.500 0.000 0.000
0.000 0.000 0.500
0.500 0.500 0.500
```

Output
The total magnetization comes out at 1.1 μB/f.u. The density of states at the Fermi level comes out at 4.331 states/eV/cell. Its total energy is -4.133 eV per atom. Its symmetry is P4/mmm.

=====

Compound: VB2TeO8
Source: Alexandria via LeMat-Bulk
Functional: PBE+U
Structure: relaxed

Structure (POSCAR):
```
VB2TeO8
1.0
4.721 0.000 0.000
-2.360 4.088 0.000
0.000 0.000 6.284
O V Te B
8 1 1 2
Direct
0.737 0.072 0.293
0.072 0.335 0.707
0.335 0.263 0.293
0.928 0.665 0.293
0.665 0.737 0.707
0.667 0.333 0.004
0.333 0.667 0.996
0.263 0.928 0.707
0.000 0.000 0.000
0.000 0.000 0.500
0.667 0.333 0.230
0.333 0.667 0.770
```

Output
The total magnetization comes out at 1.0 μB/f.u. The density of states at the Fermi level comes out at 1.776 states/eV/cell. Its total energy is -6.630 eV per atom. Its symmetry is P-3.

=====

Q: Which of these has the highest total magnetization?
A: VBTe2O